MnTlPdO4: optimized geometry, GGA+U.

Summary:
**E_tot**: -5.80 eV per atom
**Calculated volume**: 14.94 A^3/atom
**Total magnetic moment**: 8.01 μB per cell

extended XYZ file:
```
14
Lattice="-0.3499 -3.2266 -4.8796 5.9250 -0.2068 3.2310 -6.1137 -3.2328 2.5760" Properties=species:S:1:pos:R:3 pbc="T T T"
Mn 2.7817 -2.6275 -1.9812
Mn -3.3203 -4.0386 2.9086
Tl -3.2318 -3.2297 -1.1518
Tl -0.1750 -1.6133 -2.4398
Pd -0.2693 -3.3331 0.4637
Pd -0.0943 -1.7198 2.9035
O -1.6451 -4.5311 -0.4050
O 3.6913 -1.1090 2.0831
O 3.5308 -2.5893 -0.1556
O 0.6104 -3.3385 -1.3554
O -1.1490 -3.3277 2.2828
O -4.2299 -5.5571 -1.1558
O -4.0694 -4.0768 1.0829
O 1.1065 -2.1350 1.3324
```